# 1
A plane-wave DFT calculation with PBE-GGA was carried out for crystalline UPaFePt at its relaxed geometry.

Cell lengths 6.5826, 6.5826, 6.5826 Å; angles 90.00, 90.00, 90.00 degrees
Fractional coordinates of all 16 atoms:
U (0.0000, 0.0000, 0.0000)
U (0.0000, 0.5000, 0.5000)
U (0.5000, 0.0000, 0.5000)
U (0.5000, 0.5000, 0.0000)
Pa (0.2500, 0.2500, 0.7500)
Pa (0.2500, 0.7500, 0.2500)
Pa (0.7500, 0.2500, 0.2500)
Pa (0.7500, 0.7500, 0.7500)
Fe (0.0000, 0.0000, 0.5000)
Fe (0.0000, 0.5000, 0.0000)
Fe (0.5000, 0.0000, 0.0000)
Fe (0.5000, 0.5000, 0.5000)
Pt (0.2500, 0.2500, 0.2500)
Pt (0.2500, 0.7500, 0.7500)
Pt (0.7500, 0.2500, 0.7500)
Pt (0.7500, 0.7500, 0.2500)

Calculated values
* ΔE_f: -0.423 eV/atom
* SG: No. 216

# 2
A plane-wave DFT calculation with PBE-GGA was carried out for crystalline Y5Th4Sc at its relaxed geometry.

Cell lengths 9.1849, 9.1849, 11.3922 Å; angles 117.03, 117.03, 22.29 degrees
Fractional coordinates of all 10 atoms:
Y (0.0000, 0.0000, 0.0000)
Y (0.3025, 0.3025, 0.9106)
Y (0.3329, 0.3329, 0.3607)
Y (0.6671, 0.6671, 0.6393)
Y (0.6975, 0.6975, 0.0894)
Th (0.1554, 0.1554, 0.3671)
Th (0.4622, 0.4622, 0.2290)
Th (0.5378, 0.5378, 0.7710)
Th (0.8446, 0.8446, 0.6329)
Sc (0.0000, 0.0000, 0.5000)

Calculated values
* ΔE_f: 0.173 eV/atom
* SG: No. 12

# 3
A plane-wave DFT calculation with PBE-GGA was carried out for crystalline BeNi2Cl at its relaxed geometry.

Cell lengths 3.3034, 3.3034, 8.6568 Å; angles 90.00, 90.00, 90.00 degrees
Fractional coordinates of all 8 atoms:
Be (0.0000, 0.0000, 0.0000)
Be (0.5000, 0.5000, 0.5000)
Ni (0.0000, 0.0000, 0.5000)
Ni (0.0000, 0.5000, 0.2500)
Ni (0.5000, 0.0000, 0.7500)
Ni (0.5000, 0.5000, 0.0000)
Cl (0.0000, 0.5000, 0.7500)
Cl (0.5000, 0.0000, 0.2500)

Calculated values
* SG: No. 119
* formation energy from raw total energies: 9.80 kcal/mol of atoms

# 4
A plane-wave DFT calculation with PBE-GGA was carried out for crystalline PuIn2Cu at its relaxed geometry.

Cell lengths 4.4301, 4.4301, 4.7105 Å; angles 90.00, 90.00, 90.00 degrees
Fractional coordinates of all 4 atoms:
Pu (0.0000, 0.0000, 0.0000)
In (0.0000, 0.5000, 0.5000)
In (0.5000, 0.0000, 0.5000)
Cu (0.5000, 0.5000, 0.0000)

Calculated values
* ΔE_f: 0.039 eV/atom
* SG: No. 123

# 5
A plane-wave DFT calculation with PBE-GGA was carried out for crystalline Li2ErPuO6 at its relaxed geometry.

Cell lengths 5.9775, 5.9775, 5.9775 Å; angles 53.04, 53.04, 53.04 degrees
Fractional coordinates of all 10 atoms:
Li (0.2021, 0.2021, 0.2021)
Li (0.7979, 0.7979, 0.7979)
Er (0.0000, 0.0000, 0.0000)
Pu (0.5000, 0.5000, 0.5000)
O (0.1272, 0.7536, 0.4006)
O (0.2464, 0.5994, 0.8728)
O (0.4006, 0.1272, 0.7536)
O (0.5994, 0.8728, 0.2464)
O (0.7536, 0.4006, 0.1272)
O (0.8728, 0.2464, 0.5994)

Calculated values
* SG: No. 148
* formation energy from raw total energies: -59.93 kcal/mol of atoms

# 6
A plane-wave DFT calculation with PBE-GGA was carried out for crystalline Ca2CuHg2 at its relaxed geometry.

Cell lengths 8.0918, 8.0918, 4.3168 Å; angles 90.00, 90.00, 90.00 degrees
Fractional coordinates of all 10 atoms:
Ca (0.1657, 0.3343, 0.0000)
Ca (0.3343, 0.8343, 0.0000)
Ca (0.6657, 0.1657, 0.0000)
Ca (0.8343, 0.6657, 0.0000)
Cu (0.0000, 0.0000, 0.0000)
Cu (0.5000, 0.5000, 0.0000)
Hg (0.1371, 0.6371, 0.5000)
Hg (0.3629, 0.1371, 0.5000)
Hg (0.6371, 0.8629, 0.5000)
Hg (0.8629, 0.3629, 0.5000)

Calculated values
* ΔE_f: -0.110 eV/atom
* SG: No. 127

# 7
A plane-wave DFT calculation with PBE-GGA was carried out for crystalline NaCa3O at its relaxed geometry.

Cell lengths 5.8471, 5.8471, 5.8471 Å; angles 90.00, 90.00, 90.00 degrees
Fractional coordinates of all 5 atoms:
Na (0.0000, 0.0000, 0.0000)
Ca (0.0000, 0.0000, 0.5000)
Ca (0.0000, 0.5000, 0.0000)
Ca (0.5000, 0.0000, 0.0000)
O (0.5000, 0.5000, 0.5000)

Calculated values
* SG: No. 221
* formation energy from raw total energies: 16.24 kcal/mol of atoms

# 8
A plane-wave DFT calculation with PBE-GGA was carried out for crystalline K2Tl at its relaxed geometry.

Cell lengths 8.8103, 9.4308, 3.7438 Å; angles 90.00, 90.00, 90.00 degrees
Fractional coordinates of all 6 atoms:
K (0.1551, 0.1966, 0.0000)
K (0.3449, 0.6966, 0.5000)
K (0.6551, 0.3034, 0.5000)
K (0.8449, 0.8034, 0.0000)
Tl (0.0000, 0.5000, 0.5000)
Tl (0.5000, 0.0000, 0.0000)

Calculated values
* ΔE_f: 0.048 eV/atom
* SG: No. 58

Calculated magnetization, 0.265, 0.000, 0.000, 1.501, 0.100, 0.000, 0.000, 0.000 μB/atom (same order as the records).